Entry from the Alexandria database: crystalline SrCuP3 at its relaxed geometry (GGA-PBE).

For the formation energy, the calculation gives 1.6427 eV/atom. The calculation puts the total energy at -13.8 eV per cell. The calculation puts the magnetic moment at 0.0 μB per formula unit. For the energy above the lowest structure with this stoichiometry, the calculation gives 7.92 eV/f.u.

The space group is Pm-3m (No. 221) and the conventional cell measures 5.446, 5.446 and 5.446 Å, with angles of 90.00, 90.00 and 90.00 degrees. The distinct sites, in fractional coordinates, are Sr at (0.000, 0.000, 0.000), Cu at (0.500, 0.500, 0.500) and P at (0.000, 0.000, 0.500).